[1]
Entry from Alexandria via LeMat-Bulk: a relaxed structure of VGaCuAu (PBE-GGA).

abc: 4.4009 4.4009 4.4009
angles: 60.00 60.00 60.00
Closest atoms and distances in Å follow each position.
Fractional positions:
V 0.0000 0.0000 0.0000  4 Ga 2.70, 4 Au 2.70
Ga 0.7500 0.7500 0.7500  4 Cu 2.70, 4 V 2.70
Cu 0.5000 0.5000 0.5000  4 Ga 2.70, 4 Au 2.70
Au 0.2500 0.2500 0.2500  4 Cu 2.70, 4 V 2.70

## Properties
**DFT total energy**: -4.86 eV per atom
**Density**: 10.502 g/cm3
**Symmetry**: F-43m, No. 216


[2]
Entry from Alexandria via LeMat-Bulk: a relaxed structure of YGa3CuAu (PBE-GGA).

abc: 7.2866 7.2866 6.0464
angles: 90.00 90.00 134.95
Closest atoms and distances in Å follow each position.
Fractional positions:
Y 0.1965 0.8035 0.7500  1 Cu 2.78, 2 Ga 2.94, 2 Au 3.05
Y 0.8035 0.1965 0.2500  1 Cu 2.78, 2 Ga 2.94, 2 Au 3.05
Ga 0.2237 0.2237 0.0000  3 Ga 2.50-2.77, 2 Cu 2.52
Ga 0.2237 0.2237 0.5000  3 Ga 2.50-2.77, 2 Cu 2.52
Ga 0.3715 0.6285 0.2500  1 Au 2.74, 4 Ga 2.77, 2 Y 2.94, 3 Cu 3.03-3.05
Ga 0.6285 0.3715 0.7500  1 Au 2.74, 4 Ga 2.77, 2 Y 2.94, 3 Cu 3.03-3.05
Ga 0.7763 0.7763 0.0000  3 Ga 2.50-2.77, 2 Cu 2.52
Ga 0.7763 0.7763 0.5000  3 Ga 2.50-2.77, 2 Cu 2.52
Cu 0.4032 0.5968 0.7500  4 Ga 2.52, 1 Y 2.78
Cu 0.5968 0.4032 0.2500  4 Ga 2.52, 1 Y 2.78
Au 0.1676 0.8324 0.2500  5 Ga 2.74-2.99, 2 Cu 2.95, 2 Y 3.05
Au 0.8324 0.1676 0.7500  5 Ga 2.74-2.99, 2 Cu 2.95, 2 Y 3.05

## Properties
**DFT total energy**: -4.07 eV per atom
**Density**: 8.164 g/cm3
**Symmetry**: Cmcm, No. 63


[3]
Entry from Alexandria via LeMat-Bulk: a relaxed structure of Y2Ga3CuAu4 (PBE-GGA).

abc: 4.2931 4.2931 10.8189
angles: 90.00 90.00 90.00
Closest atoms and distances in Å follow each position.
Fractional positions:
Y 0.0000 0.5000 0.2468  8 Au 3.26-3.48, 6 Ga 3.29-3.43, 2 Cu 3.43
Y 0.5000 0.0000 0.7532  8 Au 3.26-3.48, 6 Ga 3.29-3.43, 2 Cu 3.43
Ga 0.0000 0.0000 0.0000  4 Au 2.60
Ga 0.0000 0.5000 0.6350  5 Au 2.47-2.60
Ga 0.5000 0.0000 0.3650  5 Au 2.47-2.60
Cu 0.5000 0.5000 0.0000  4 Au 2.60
Au 0.0000 0.0000 0.5000  4 Ga 2.60
Au 0.0000 0.5000 0.8637  3 Ga 2.47-2.60, 2 Cu 2.60
Au 0.5000 0.0000 0.1363  3 Ga 2.47-2.60, 2 Cu 2.60
Au 0.5000 0.5000 0.5000  4 Ga 2.60

## Properties
**DFT total energy**: -4.45 eV per atom
**Density**: 10.313 g/cm3
**Symmetry**: P-4m2, No. 115


[4]
Entry from Alexandria via LeMat-Bulk: a relaxed structure of Y2Ga4Cu3Au (PBE-GGA).

abc: 4.1785 4.1785 10.2746
angles: 90.00 90.00 90.00
Closest atoms and distances in Å follow each position.
Fractional positions:
Y 0.0000 0.5000 0.2459  8 Ga 3.17-3.28, 6 Cu 3.19-3.34, 2 Au 3.34
Y 0.5000 0.0000 0.7541  8 Ga 3.17-3.28, 6 Cu 3.19-3.34, 2 Au 3.34
Ga 0.0000 0.0000 0.0000  4 Cu 2.47
Ga 0.0000 0.5000 0.6430  3 Cu 2.35-2.55, 2 Au 2.55
Ga 0.5000 0.0000 0.3570  3 Cu 2.35-2.55, 2 Au 2.55
Ga 0.5000 0.5000 0.0000  4 Cu 2.47
Cu 0.0000 0.5000 0.8721  5 Ga 2.35-2.47
Cu 0.5000 0.0000 0.1279  5 Ga 2.35-2.47
Cu 0.5000 0.5000 0.5000  4 Ga 2.55
Au 0.0000 0.0000 0.5000  4 Ga 2.55

## Properties
**DFT total energy**: -4.54 eV per atom
**Density**: 7.815 g/cm3
**Symmetry**: P-4m2, No. 115


[5]
Entry from Alexandria via LeMat-Bulk: a relaxed structure of Zn2GaCuAu5 (PBE-GGA).

abc: 7.2055 7.2055 11.1091
angles: 90.00 90.00 147.28
Closest atoms and distances in Å follow each position.
Fractional positions:
Zn 0.0306 0.9694 0.5000  9 Au 2.76-2.92, 2 Cu 2.93
Zn 0.1836 0.8164 0.8064  4 Au 2.58-2.80
Zn 0.8164 0.1836 0.3064  4 Au 2.58-2.80
Zn 0.9694 0.0306 0.0000  9 Au 2.76-2.92, 2 Cu 2.93
Ga 0.1939 0.8061 0.1468  2 Cu 2.53, 4 Au 2.60-2.74
Ga 0.8061 0.1939 0.6468  2 Cu 2.53, 4 Au 2.60-2.74
Cu 0.4142 0.5858 0.6239  2 Ga 2.53, 6 Au 2.58-2.82
Cu 0.5858 0.4142 0.1239  2 Ga 2.53, 6 Au 2.58-2.82
Au 0.0125 0.9875 0.2428  2 Cu 2.62, 1 Ga 2.73, 3 Zn 2.76-2.87, 2 Au 2.88
Au 0.2414 0.7586 0.5014  2 Ga 2.74, 1 Cu 2.75, 5 Au 2.82-3.04, 1 Zn 2.91
Au 0.3641 0.6359 0.8646  1 Zn 2.58, 1 Cu 2.76
Au 0.3818 0.6182 0.1355  1 Ga 2.60, 2 Zn 2.80, 1 Cu 2.82
Au 0.4259 0.5741 0.3923  1 Cu 2.58, 4 Zn 2.71-2.77, 3 Au 2.82-2.88
Au 0.5741 0.4259 0.8923  1 Cu 2.58, 4 Zn 2.71-2.77, 3 Au 2.82-2.88
Au 0.6182 0.3818 0.6355  1 Ga 2.60, 2 Zn 2.80, 1 Cu 2.82
Au 0.6359 0.3641 0.3646  1 Zn 2.58, 1 Cu 2.76
Au 0.7586 0.2414 0.0014  2 Ga 2.74, 1 Cu 2.75, 5 Au 2.82-3.04, 1 Zn 2.91
Au 0.9875 0.0125 0.7428  2 Cu 2.62, 1 Ga 2.73, 3 Zn 2.76-2.87, 2 Au 2.88

## Properties
**DFT total energy**: -3.00 eV per atom
**Density**: 13.302 g/cm3
**Symmetry**: Cmc2_1, No. 36


[6]
Entry from Alexandria via LeMat-Bulk: a relaxed structure of ZnGaCuAu2 (PBE-GGA).

abc: 6.6040 3.5176 6.8559
angles: 90.00 91.01 90.00
Closest atoms and distances in Å follow each position.
Fractional positions:
Zn 0.0415 0.2500 0.1639  2 Cu 2.59, 5 Au 2.71-2.81, 2 Zn 2.90
Zn 0.9585 0.7500 0.8361  2 Cu 2.59, 5 Au 2.71-2.81, 2 Zn 2.90
Ga 0.4674 0.2500 0.3210  2 Cu 2.71, 6 Au 2.77-2.85, 1 Zn 2.99
Ga 0.5326 0.7500 0.6790  2 Cu 2.71, 6 Au 2.77-2.85, 1 Zn 2.99
Cu 0.2319 0.2500 0.7511  2 Zn 2.59, 4 Au 2.69-2.70, 2 Ga 2.71
Cu 0.7681 0.7500 0.2489  2 Zn 2.59, 4 Au 2.69-2.70, 2 Ga 2.71
Au 0.1781 0.7500 0.4579  2 Cu 2.69, 3 Ga 2.77, 3 Zn 2.81-2.99, 2 Au 3.00
Au 0.3232 0.7500 0.0382  2 Cu 2.70, 3 Zn 2.71-2.76, 3 Ga 2.77-2.85, 2 Au 2.98
Au 0.6768 0.2500 0.9618  2 Cu 2.70, 3 Zn 2.71-2.76, 3 Ga 2.77-2.85, 2 Au 2.98
Au 0.8219 0.2500 0.5421  2 Cu 2.69, 3 Ga 2.77, 3 Zn 2.81-2.99, 2 Au 3.00

## Properties
**DFT total energy**: -3.12 eV per atom
**Density**: 12.360 g/cm3
**Symmetry**: P2_1/m, No. 11


[7]
Entry from Alexandria via LeMat-Bulk: a relaxed structure of ZnGaCuAu3 (PBE-GGA).

abc: 6.4266 3.8853 8.4182
angles: 90.00 111.03 90.00
Closest atoms and distances in Å follow each position.
Fractional positions:
Zn 0.1528 0.2500 0.3034  7 Au 2.70-2.93, 3 Cu 2.73-2.86, 1 Ga 2.83
Zn 0.8472 0.7500 0.6966  7 Au 2.70-2.93, 3 Cu 2.73-2.86, 1 Ga 2.83
Ga 0.4862 0.2500 0.1574  6 Au 2.68-2.81, 2 Cu 2.74, 1 Zn 2.83
Ga 0.5138 0.7500 0.8426  6 Au 2.68-2.81, 2 Cu 2.74, 1 Zn 2.83
Cu 0.4979 0.2500 0.6093  2 Cu 2.68, 5 Au 2.73-2.93, 3 Zn 2.73-2.86, 2 Ga 2.74
Cu 0.5021 0.7500 0.3907  2 Cu 2.68, 5 Au 2.73-2.93, 3 Zn 2.73-2.86, 2 Ga 2.74
Au 0.1779 0.7500 0.0712  2 Ga 2.68, 1 Cu 2.75, 2 Zn 2.80, 5 Au 2.91-3.00
Au 0.1790 0.7500 0.5317  3 Zn 2.70-2.93, 1 Ga 2.73, 3 Cu 2.73-2.74, 4 Au 2.91-3.01
Au 0.2109 0.2500 0.8121  3 Ga 2.70-2.81, 2 Zn 2.92, 1 Cu 2.93, 5 Au 2.99-3.01
Au 0.7891 0.7500 0.1879  3 Ga 2.70-2.81, 2 Zn 2.92, 1 Cu 2.93, 5 Au 2.99-3.01
Au 0.8210 0.2500 0.4683  3 Zn 2.70-2.93, 1 Ga 2.73, 3 Cu 2.73-2.74, 4 Au 2.91-3.01
Au 0.8221 0.2500 0.9288  2 Ga 2.68, 1 Cu 2.75, 2 Zn 2.80, 5 Au 2.91-3.00

## Properties
**DFT total energy**: -3.17 eV per atom
**Density**: 13.366 g/cm3
**Symmetry**: P2_1/m, No. 11


[8]
Entry from Alexandria via LeMat-Bulk: a relaxed structure of ZnGa2Cu5Au2 (PBE-GGA).

abc: 8.7086 8.7086 3.8710
angles: 90.00 90.00 90.00
Closest atoms and distances in Å follow each position.
Fractional positions:
Zn 0.0000 0.0000 0.0000  8 Cu 2.65
Zn 0.5000 0.5000 0.0000  8 Cu 2.65
Ga 0.1244 0.3756 0.0000  6 Cu 2.47-2.54, 3 Au 2.51-2.61
Ga 0.3756 0.8756 0.0000  6 Cu 2.47-2.54, 3 Au 2.51-2.61
Ga 0.6244 0.1244 0.0000  6 Cu 2.47-2.54, 3 Au 2.51-2.61
Ga 0.8756 0.6244 0.0000  6 Cu 2.47-2.54, 3 Au 2.51-2.61
Cu 0.0000 0.5000 0.5000  4 Ga 2.47
Cu 0.0828 0.1906 0.5000  2 Ga 2.54, 4 Cu 2.56-2.79, 2 Zn 2.65
Cu 0.1906 0.9172 0.5000  2 Ga 2.54, 4 Cu 2.56-2.79, 2 Zn 2.65
Cu 0.3094 0.4172 0.5000  2 Ga 2.54, 4 Cu 2.56-2.79, 2 Zn 2.65
Cu 0.4172 0.6906 0.5000  2 Ga 2.54, 4 Cu 2.56-2.79, 2 Zn 2.65
Cu 0.5000 0.0000 0.5000  4 Ga 2.47
Cu 0.5828 0.3094 0.5000  2 Ga 2.54, 4 Cu 2.56-2.79, 2 Zn 2.65
Cu 0.6906 0.5828 0.5000  2 Ga 2.54, 4 Cu 2.56-2.79, 2 Zn 2.65
Cu 0.8094 0.0828 0.5000  2 Ga 2.54, 4 Cu 2.56-2.79, 2 Zn 2.65
Cu 0.9172 0.8094 0.5000  2 Ga 2.54, 4 Cu 2.56-2.79, 2 Zn 2.65
Au 0.1718 0.6718 0.0000  3 Ga 2.51-2.61
Au 0.3282 0.1718 0.0000  3 Ga 2.51-2.61
Au 0.6718 0.8282 0.0000  3 Ga 2.51-2.61
Au 0.8282 0.3282 0.0000  3 Ga 2.51-2.61

## Properties
**DFT total energy**: -3.46 eV per atom
**Density**: 10.368 g/cm3
**Symmetry**: P4/mbm, No. 127


[9]
Entry from Alexandria via LeMat-Bulk: a relaxed structure of ZnGa2Cu5Au (PBE-GGA).

abc: 6.8441 6.8441 10.3287
angles: 90.00 90.00 148.09
Closest atoms and distances in Å follow each position.
Fractional positions:
Zn 0.2426 0.7574 0.5000  4 Cu 2.54-2.77, 2 Au 2.77
Zn 0.7574 0.2426 0.0000  4 Cu 2.54-2.77, 2 Au 2.77
Ga 0.0022 0.9978 0.5041  8 Cu 2.51-2.72
Ga 0.1894 0.8106 0.2292  7 Cu 2.52-2.62, 1 Au 2.62
Ga 0.8106 0.1894 0.7292  7 Cu 2.52-2.62, 1 Au 2.62
Ga 0.9978 0.0022 0.0041  8 Cu 2.51-2.72
Cu 0.0040 0.9960 0.7570  7 Cu 2.55-2.71, 3 Ga 2.55-2.61, 2 Au 2.81
Cu 0.1998 0.8002 0.8180  4 Cu 2.51-2.65, 2 Ga 2.55, 2 Zn 2.77
Cu 0.3880 0.6120 0.8751  5 Cu 2.54-2.71, 4 Ga 2.62-2.72, 1 Au 2.65
Cu 0.4127 0.5873 0.6313  4 Cu 2.52-2.58, 4 Ga 2.52-2.58, 1 Zn 2.62
Cu 0.4145 0.5855 0.3875  6 Cu 2.51-2.60, 2 Ga 2.51, 1 Zn 2.54, 1 Au 2.71
Cu 0.5855 0.4145 0.8875  6 Cu 2.51-2.60, 2 Ga 2.51, 1 Zn 2.54, 1 Au 2.71
Cu 0.5873 0.4127 0.1313  4 Cu 2.52-2.58, 4 Ga 2.52-2.58, 1 Zn 2.62
Cu 0.6120 0.3880 0.3751  5 Cu 2.54-2.71, 4 Ga 2.62-2.72, 1 Au 2.65
Cu 0.8002 0.1998 0.3180  4 Cu 2.51-2.65, 2 Ga 2.55, 2 Zn 2.77
Cu 0.9960 0.0040 0.2570  7 Cu 2.55-2.71, 3 Ga 2.55-2.61, 2 Au 2.81
Au 0.3727 0.6273 0.1310  3 Ga 2.62-2.82, 7 Cu 2.65-2.86, 2 Zn 2.77
Au 0.6273 0.3727 0.6310  3 Ga 2.62-2.82, 7 Cu 2.65-2.86, 2 Zn 2.77

## Properties
**DFT total energy**: -3.52 eV per atom
**Density**: 9.345 g/cm3
**Symmetry**: Cmc2_1, No. 36


[10]
Entry from Alexandria via LeMat-Bulk: a relaxed structure of ZnGa2CuAu5 (PBE-GGA).

abc: 7.6376 7.6376 12.6041
angles: 90.00 90.00 153.98
Closest atoms and distances in Å follow each position.
Fractional positions:
Zn 0.2442 0.7558 0.5000  2 Cu 2.67, 5 Au 2.73-2.75
Zn 0.7558 0.2442 0.0000  2 Cu 2.67, 5 Au 2.73-2.75
Ga 0.1131 0.8869 0.8712  5 Au 2.57-2.70
Ga 0.1193 0.8807 0.1988  8 Au 2.57-2.83
Ga 0.8807 0.1193 0.6988  8 Au 2.57-2.83
Ga 0.8869 0.1131 0.3712  5 Au 2.57-2.70
Cu 0.3927 0.6073 0.9965  6 Au 2.60-2.74, 2 Zn 2.67
Cu 0.6073 0.3927 0.4965  6 Au 2.60-2.74, 2 Zn 2.67
Au 0.0562 0.9438 0.6480  2 Cu 2.68, 2 Ga 2.69-2.94, 6 Au 2.88-2.99
Au 0.2828 0.7172 0.8340  3 Ga 2.57-2.83, 1 Cu 2.62, 2 Zn 2.74
Au 0.2896 0.7104 0.1654  1 Ga 2.57, 1 Cu 2.62, 2 Zn 2.75, 2 Au 2.88
Au 0.4255 0.5745 0.5304  4 Ga 2.70-2.81, 1 Zn 2.73, 1 Cu 2.74, 3 Au 2.99-3.02
Au 0.4802 0.5198 0.8182  1 Cu 2.60, 4 Ga 2.70-2.72
Au 0.5198 0.4802 0.3182  1 Cu 2.60, 4 Ga 2.70-2.72
Au 0.5745 0.4255 0.0304  4 Ga 2.70-2.81, 1 Zn 2.73, 1 Cu 2.74, 3 Au 2.99-3.02
Au 0.7104 0.2896 0.6654  1 Ga 2.57, 1 Cu 2.62, 2 Zn 2.75, 2 Au 2.88
Au 0.7172 0.2828 0.3340  3 Ga 2.57-2.83, 1 Cu 2.62, 2 Zn 2.74
Au 0.9438 0.0562 0.1480  2 Cu 2.68, 2 Ga 2.69-2.94, 6 Au 2.88-2.99

## Properties
**DFT total energy**: -3.20 eV per atom
**Density**: 12.905 g/cm3
**Symmetry**: Cmc2_1, No. 36


[11]
Entry from Alexandria via LeMat-Bulk: a relaxed structure of GdCuAu2 (PBE-GGA).

abc: 5.2809 5.2809 5.2809
angles: 50.84 50.84 50.84
Closest atoms and distances in Å follow each position.
Fractional positions:
Gd 0.0000 0.0000 0.0000  8 Au 3.03-3.05
Cu 0.5000 0.5000 0.5000  6 Au 2.73
Au 0.2217 0.2217 0.2217  3 Cu 2.73, 3 Au 3.02, 4 Gd 3.03-3.05
Au 0.7783 0.7783 0.7783  3 Cu 2.73, 3 Au 3.02, 4 Gd 3.03-3.05

## Properties
**DFT total energy**: -6.71 eV per atom
**Density**: 12.502 g/cm3
**Energy above the most stable polymorph in this dataset**: 0.00 eV per formula unit
**Symmetry**: R-3m, No. 166


[12]
Entry from Alexandria via LeMat-Bulk: a relaxed structure of GdCuAu2 (PBE-GGA).

abc: 3.4755 3.4755 6.4940
angles: 90.00 90.00 90.00
Closest atoms and distances in Å follow each position.
Fractional positions:
Gd 0.0000 0.0000 0.0000  8 Au 3.07, 2 Cu 3.25
Cu 0.0000 0.0000 0.5000  8 Au 2.83
Au 0.5000 0.5000 0.2842  1 Au 2.80, 4 Cu 2.83, 4 Gd 3.07
Au 0.5000 0.5000 0.7158  1 Au 2.80, 4 Cu 2.83, 4 Gd 3.07

## Properties
**DFT total energy**: -6.65 eV per atom
**Density**: 13.014 g/cm3
**Energy above the most stable polymorph in this dataset**: 0.24 eV per formula unit
**Symmetry**: P4/mmm, No. 123


- Which of these has the lowest DFT total energy?
  number 11